No. 1
Crystalline Sr5Li2Ca at its relaxed geometry, computed with PBE.

Summary:
Fermi-level density of states: 34.9 states/eV per cell
E_form: 0.05 eV/atom

The structure in CIF format:
```
data_Sr5Li2Ca
_space_group_name_H-M_alt 'C m c m'
_space_group_IT_number 63
_space_group_name_Hall '-C 2c 2'
_cell_length_a 4.1494
_cell_length_b 14.2003
_cell_length_c 24.5870
_cell_angle_alpha 90.00
_cell_angle_beta 90.00
_cell_angle_gamma 90.00
loop_
_atom_site_label
_atom_site_fract_x
_atom_site_fract_y
_atom_site_fract_z
Sr1 0.0000 0.0193 0.2500
Sr2 0.0000 0.1350 0.0388
Sr3 0.0000 0.4043 0.1110
Li1 0.0000 0.3231 0.6568
Ca1 0.0000 0.2816 0.2500
```

No. 2
Crystalline SrLiCa2 at its relaxed geometry, computed with PBE.

Summary:
Fermi-level density of states: 3.3 states/eV per cell
E_form: 0.08 eV/atom
Distance to the lowest polymorph of the same formula: 58 meV per atom

The structure in CIF format:
```
data_SrLiCa2
_space_group_name_H-M_alt 'P 1 2/m 1'
_space_group_IT_number 10
_cell_length_a 3.8913
_cell_length_b 5.8627
_cell_length_c 7.4349
_cell_angle_alpha 90.00
_cell_angle_beta 104.72
_cell_angle_gamma 90.00
loop_
_space_group_symop_operation_xyz
'x,y,z'
'-x,-y,-z'
'-x,y,-z'
'x,-y,z'
loop_
_atom_site_label
_atom_site_fract_x
_atom_site_fract_y
_atom_site_fract_z
Sr1 0.0000 0.0000 0.0000
Li1 0.5000 0.0000 0.5000
Ca1 0.3264 0.5000 0.7305
```

No. 3
Crystalline Sr12LiCa6 at its relaxed geometry, computed with PBE.

Summary:
Fermi-level density of states: 65.8 states/eV per cell
E_form: 0.05 eV/atom

The structure in CIF format:
```
data_Sr12LiCa6
_space_group_name_H-M_alt 'R -3'
_space_group_IT_number 148
_space_group_name_Hall '-R 3'
_cell_length_a 13.7813
_cell_length_b 13.7813
_cell_length_c 17.4494
_cell_angle_alpha 90.00
_cell_angle_beta 90.00
_cell_angle_gamma 120.00
loop_
_atom_site_label
_atom_site_fract_x
_atom_site_fract_y
_atom_site_fract_z
Sr1 0.0372 0.1866 0.3131
Sr2 0.0626 0.8437 0.9132
Li1 0.0000 0.0000 0.5000
Ca1 0.0421 0.4473 0.2027
```

No. 4
Crystalline SrLiCa at its relaxed geometry, computed with PBE.

Summary:
Fermi-level density of states: 13.1 states/eV per cell
E_form: 0.20 eV/atom
Distance to the lowest polymorph of the same formula: 183 meV per atom

The structure in CIF format:
```
data_SrLiCa
_space_group_name_H-M_alt 'F -4 3 m'
_space_group_IT_number 216
_space_group_name_Hall 'F -4 2 3'
_cell_length_a 8.0666
_cell_length_b 8.0666
_cell_length_c 8.0666
_cell_angle_alpha 90.00
_cell_angle_beta 90.00
_cell_angle_gamma 90.00
loop_
_atom_site_label
_atom_site_fract_x
_atom_site_fract_y
_atom_site_fract_z
Sr1 0.0000 0.0000 0.0000
Li1 0.2500 0.2500 0.7500
Ca1 0.0000 0.0000 0.5000
```

No. 5
Crystalline SrLiCa2 at its relaxed geometry, computed with PBE.

Summary:
Fermi-level density of states: 8.2 states/eV per cell
E_form: 0.08 eV/atom
Distance to the lowest polymorph of the same formula: 67 meV per atom

The structure in CIF format:
```
data_SrLiCa2
_space_group_name_H-M_alt 'C 1 m 1'
_space_group_IT_number 8
_cell_length_a 6.8732
_cell_length_b 3.9617
_cell_length_c 12.2330
_cell_angle_alpha 90.00
_cell_angle_beta 100.88
_cell_angle_gamma 90.00
loop_
_space_group_symop_operation_xyz
'x,y,z'
'x,-y,z'
'x+1/2,y+1/2,z'
'x+1/2,-y+1/2,z'
loop_
_atom_site_label
_atom_site_fract_x
_atom_site_fract_y
_atom_site_fract_z
Sr1 0.0000 0.0000 0.0000
Li1 0.3329 0.5000 0.4998
Ca1 0.2394 0.0000 0.7197
Ca2 0.4264 0.0000 0.2803
```

No. 6
Crystalline SrLiCa at its relaxed geometry, computed with PBE.

Summary:
Fermi-level density of states: 14.3 states/eV per cell
E_form: 0.54 eV/atom
Distance to the lowest polymorph of the same formula: 521 meV per atom

The structure in CIF format:
```
data_SrLiCa
_space_group_name_H-M_alt 'F -4 3 m'
_space_group_IT_number 216
_space_group_name_Hall 'F -4 2 3'
_cell_length_a 8.5390
_cell_length_b 8.5390
_cell_length_c 8.5390
_cell_angle_alpha 90.00
_cell_angle_beta 90.00
_cell_angle_gamma 90.00
loop_
_atom_site_label
_atom_site_fract_x
_atom_site_fract_y
_atom_site_fract_z
Sr1 0.0000 0.0000 0.0000
Li1 0.2500 0.2500 0.7500
Ca1 0.2500 0.2500 0.2500
```

No. 7
Crystalline Sr3Li3Ca2 at its relaxed geometry, computed with PBE.

Summary:
Fermi-level density of states: 14.9 states/eV per cell
E_form: 0.03 eV/atom

The structure in CIF format:
```
data_Sr3Li3Ca2
_space_group_name_H-M_alt 'I m m m'
_space_group_IT_number 71
_space_group_name_Hall '-I 2 2'
_cell_length_a 4.1984
_cell_length_b 6.0888
_cell_length_c 24.4148
_cell_angle_alpha 90.00
_cell_angle_beta 90.00
_cell_angle_gamma 90.00
loop_
_atom_site_label
_atom_site_fract_x
_atom_site_fract_y
_atom_site_fract_z
Sr1 0.0000 0.0000 0.0000
Sr2 0.0000 0.5000 0.1219
Li1 0.0000 0.0000 0.5000
Li2 0.0000 0.5000 0.3771
Ca1 0.0000 0.0000 0.2339
```

No. 8
Crystalline SrLiCa2 at its relaxed geometry, computed with PBE.

Summary:
Fermi-level density of states: 4.1 states/eV per cell
E_form: 0.07 eV/atom
Distance to the lowest polymorph of the same formula: 57 meV per atom

The structure in CIF format:
```
data_SrLiCa2
_space_group_name_H-M_alt 'P 1 m 1'
_space_group_IT_number 6
_cell_length_a 3.9071
_cell_length_b 5.7531
_cell_length_c 7.5666
_cell_angle_alpha 90.00
_cell_angle_beta 104.58
_cell_angle_gamma 90.00
loop_
_space_group_symop_operation_xyz
'x,y,z'
'x,-y,z'
loop_
_atom_site_label
_atom_site_fract_x
_atom_site_fract_y
_atom_site_fract_z
Sr1 0.0000 0.0000 0.0000
Li1 0.4488 0.5000 0.7766
Ca1 0.2081 0.0000 0.5240
Ca2 0.6207 0.5000 0.3002
```